Entry 1:
Below is an optimized crystal structure of Tb2MnGa4Ni3, with properties calculated at the GGA-PBE level.

The structure in CIF format:
```
data_Tb2MnGa4Ni3
_chemical_formula_sum 'Tb2 Mn1 Ga4 Ni3'
_cell_length_a 3.976
_cell_length_b 3.976
_cell_length_c 10.613
_cell_angle_alpha 90.00
_cell_angle_beta 90.00
_cell_angle_gamma 90.00
_symmetry_space_group_name_H-M 'P -4 m 2'
_symmetry_Int_Tables_number 115
loop_
_symmetry_equiv_pos_as_xyz
'x,y,z'
'y,-x,-z'
'-x,-y,z'
'-y,x,-z'
'-x,y,z'
'-y,-x,-z'
'x,-y,z'
'y,x,-z'
loop_
_atom_site_label
_atom_site_fract_x
_atom_site_fract_y
_atom_site_fract_z
Tb1 0.000 0.500 0.243
Mn1 0.000 0.000 0.500
Ga1 0.000 0.000 0.000
Ga2 0.000 0.500 0.640
Ga3 0.500 0.500 0.000
Ni1 0.000 0.500 0.866
Ni2 0.500 0.500 0.500
```

***

Entry 2:
Below is an optimized crystal structure of MnGaTcNi, with properties calculated at the GGA-PBE level.

The structure in CIF format:
```
data_MnGaTcNi
_chemical_formula_sum 'Mn4 Ga4 Tc4 Ni4'
_cell_length_a 5.938
_cell_length_b 5.938
_cell_length_c 5.938
_cell_angle_alpha 90.00
_cell_angle_beta 90.00
_cell_angle_gamma 90.00
_symmetry_space_group_name_H-M 'F -4 3 m'
_symmetry_Int_Tables_number 216
_symmetry_space_group_name_Hall 'F -4 2 3'
loop_
_atom_site_label
_atom_site_fract_x
_atom_site_fract_y
_atom_site_fract_z
Mn1 0.000 0.000 0.000
Ga1 0.000 0.000 0.500
Tc1 0.250 0.250 0.750
Ni1 0.250 0.250 0.250
```

***

| no. | magnetic moment (μB/f.u.) | formation energy from the elements (meV per atom) |
| --- | --- | --- |
| 1 | 2.95 | -502 |
| 2 | 2.83 | -137 |